Record 1
The following is a DFT calculation (PBE) of a relaxed structure of AcPm2Pr6Er.

Cell lengths 9.448, 15.742, 9.881 Å; angles 90.00, 96.13, 90.00 degrees
Space group C2/c (No. 15)
One atom of each set of equivalent atoms:
Ac 0.000 0.023 0.250 x4
Pm 0.243 0.444 0.454 x8
Pr 0.060 0.188 0.946 x8
Pr 0.103 0.394 0.117 x8
Pr 0.214 0.224 0.311 x8
Er 0.000 0.412 0.750 x4

Summary:
**Calculated density**: 6.95 g/cm3
**Size of the total moment**: 0.003 Bohr magnetons per cell
**Electronic total energy**: -4.57 eV/atom
**DOS at the Fermi energy**: 1.454 states/eV/atom

Record 2
The following is a DFT calculation (PBE) of a relaxed structure of Tl2InCu2.

Cell lengths 8.270, 8.270, 3.210 Å; angles 90.00, 90.00, 90.00 degrees
Space group P4/mbm (No. 127)
One atom of each set of equivalent atoms:
Tl 0.146 0.354 0.000 x4
In 0.000 0.000 0.000 x2
Cu 0.150 0.650 0.500 x4

Summary:
**Calculated density**: 9.84 g/cm3
**Size of the total moment**: 0.000 Bohr magnetons per cell
**Excess energy over the best structure of this formula in the dataset**: 0.70 eV/f.u.
**DOS at the Fermi energy**: 0.538 states/eV/atom

Record 3
The following is a DFT calculation (PBE) of a relaxed structure of Si3Ge5Au12.

Cell lengths 15.028, 15.028, 15.028 Å; angles 90.00, 90.00, 90.00 degrees
Space group Ia-3d (No. 230)
One atom of each set of equivalent atoms:
Si 0.000 0.250 0.125 x24
Ge 0.000 0.000 0.000 x16
Ge 0.000 0.250 0.375 x24
Au 0.022 0.086 0.648 x96

Summary:
**Calculated density**: 11.00 g/cm3
**Size of the total moment**: 0.000 Bohr magnetons per cell
**Uncorrected formation energy**: 0.136 eV per atom
**DOS at the Fermi energy**: 0.230 states/eV/atom

Record 4
The following is a DFT calculation (PBE) of a relaxed structure of Tb3SmEr6.

Cell lengths 5.489, 8.540, 8.622 Å; angles 118.92, 108.09, 90.82 degrees
Space group P-1 (No. 2)
One atom of each set of equivalent atoms:
Tb 0.000 0.000 0.000 x1
Tb 0.232 0.192 0.461 x2
Sm 0.500 0.500 0.000 x1
Er 0.134 0.701 0.271 x2
Er 0.340 0.648 0.692 x2
Er 0.389 0.054 0.775 x2

Summary:
**Calculated density**: 8.21 g/cm3
**Size of the total moment**: 0.007 Bohr magnetons per cell
**Excess energy over the best structure of this formula in the dataset**: 0.98 eV/f.u.
**DOS at the Fermi energy**: 1.465 states/eV/atom